Run one
# BiTePd3

A relaxed BiTePd3 crystal (PBE-GGA, Alexandria via LeMat-Bulk).

Output
- space-group type = P-1
- crystal system = triclinic

Geometry as extended XYZ:
```
10
Lattice="5.7700 0.0000 0.0000 0.0012 5.9030 0.0000 0.0304 0.9335 6.5540" Properties=species:S:1:pos:R:3 pbc="T T T"
Bi 0.0182 1.5257 1.8750
Bi 5.7833 5.3108 4.6789
Te 2.8852 4.4378 1.8300
Te 2.9163 2.3988 4.7240
Pd 5.7906 2.4232 4.4985
Pd 0.0109 4.4133 2.0554
Pd 1.4914 0.9320 6.5430
Pd 1.5151 3.8888 6.5429
Pd 4.2864 2.9477 0.0110
Pd 4.3101 5.9045 0.0110
```

***

Run two
# BiTePd3

A relaxed BiTePd3 crystal (PBE-GGA, Alexandria via LeMat-Bulk).

Output
- space-group type = Pm-3m
- crystal system = cubic

Geometry as extended XYZ:
```
5
Lattice="5.0931 0.0000 0.0000 0.0000 5.0931 0.0000 0.0000 0.0000 5.0931" Properties=species:S:1:pos:R:3 pbc="T T T"
Bi 0.0000 0.0000 0.0000
Te 2.5465 2.5465 2.5465
Pd 0.0000 0.0000 2.5465
Pd 0.0000 2.5465 0.0000
Pd 2.5465 0.0000 0.0000
```

***

Run three
# BiTePd3

A relaxed BiTePd3 crystal (PBE-GGA, Alexandria via LeMat-Bulk).

Output
- space-group type = P2_1/c
- crystal system = monoclinic

Geometry as extended XYZ:
```
20
Lattice="7.3207 0.0000 0.0000 0.0000 6.7544 0.0000 -7.0306 0.0000 8.4376" Properties=species:S:1:pos:R:3 pbc="T T T"
Bi -0.7885 1.6644 1.6246
Bi -4.3038 1.7128 5.8434
Bi 4.5939 5.0416 2.5942
Bi 1.0786 5.0901 6.8130
Te -2.7594 4.9630 7.2015
Te 0.7559 5.1686 2.9827
Te -0.4658 1.5858 5.4549
Te 3.0495 1.7914 1.2361
Pd -6.3371 1.0319 7.6619
Pd -2.8218 2.3453 3.4431
Pd 1.1839 3.5556 0.7715
Pd -2.3314 6.5761 4.9903
Pd -0.9743 4.1264 4.8716
Pd 2.5410 6.0052 0.6528
Pd -2.2508 0.7492 7.7848
Pd 1.2645 2.6280 3.5660
Pd 2.6216 0.1784 3.4473
Pd -0.8937 3.1989 7.6661
Pd 3.1119 4.4091 4.9945
Pd 6.6272 5.7225 0.7757
```

***

Run four
# BiTePd3

A relaxed BiTePd3 crystal (PBE-GGA, Alexandria via LeMat-Bulk).

Output
- space-group type = Pm-3m
- crystal system = cubic

Geometry as extended XYZ:
```
5
Lattice="4.9833 0.0000 0.0000 0.0000 4.9833 0.0000 0.0000 0.0000 4.9833" Properties=species:S:1:pos:R:3 pbc="T T T"
Bi 0.0000 0.0000 0.0000
Te 2.4916 2.4916 2.4916
Pd 0.0000 2.4916 2.4916
Pd 2.4916 0.0000 2.4916
Pd 2.4916 2.4916 0.0000
```

***

Which is the most stable structure? run three is the most stable.

***

Run one
# ThBiPd4

A relaxed ThBiPd4 crystal (PBE-GGA, Alexandria via LeMat-Bulk).

Output
- space-group type = P2_1/m
- crystal system = monoclinic

Geometry as extended XYZ:
```
12
Lattice="5.8414 0.0000 0.0000 0.0000 5.9765 0.0000 -0.0030 0.0000 7.0317" Properties=species:S:1:pos:R:3 pbc="T T T"
Th -0.0004 1.4941 1.3778
Th 5.8389 4.4824 5.6539
Bi 2.9196 1.4941 5.7678
Bi 2.9189 4.4824 1.2639
Pd 0.0039 1.4941 5.4414
Pd 1.4737 5.9756 3.5117
Pd 1.4737 2.9891 3.5117
Pd 2.9229 1.4941 1.5766
Pd 2.9156 4.4824 5.4552
Pd 4.3647 0.0009 3.5200
Pd 4.3647 2.9874 3.5200
Pd 5.8346 4.4824 1.5903
```

***

Run two
# ThBiPd4

A relaxed ThBiPd4 crystal (PBE-GGA, Alexandria via LeMat-Bulk).

Output
- space-group type = F-43m
- crystal system = cubic

Geometry as extended XYZ:
```
6
Lattice="0.0000 3.8936 3.8936 3.8936 0.0000 3.8936 3.8936 3.8936 0.0000" Properties=species:S:1:pos:R:3 pbc="T T T"
Th 0.0000 0.0000 0.0000
Bi 5.8404 5.8404 5.8404
Pd 2.9169 2.9169 2.9169
Pd 4.8704 4.8704 2.9169
Pd 4.8704 2.9169 4.8704
Pd 2.9169 4.8704 4.8704
```

***

Which is the most stable structure? run two is the most stable.

***

Run one
# TlBiPd4

A relaxed TlBiPd4 crystal (PBE-GGA, Alexandria via LeMat-Bulk).

Output
- space-group type = Cmcm
- crystal system = orthorhombic

Geometry as extended XYZ:
```
12
Lattice="1.6539 -8.7080 0.0000 1.6539 8.7080 0.0000 0.0000 0.0000 7.9478" Properties=species:S:1:pos:R:3 pbc="T T T"
Tl 1.6539 4.6269 5.9609
Tl 1.6539 -4.6269 1.9870
Bi 1.6539 1.1107 5.9609
Bi 1.6539 -1.1107 1.9870
Pd 0.0000 0.0000 0.0000
Pd 0.0000 0.0000 3.9739
Pd 1.6539 5.8752 0.4175
Pd 1.6539 5.8752 3.5564
Pd 1.6539 1.7140 1.9870
Pd 1.6539 -1.7140 5.9609
Pd 1.6539 -5.8752 4.3914
Pd 1.6539 -5.8752 7.5303
```

***

Run two
# TlBiPd4

A relaxed TlBiPd4 crystal (PBE-GGA, Alexandria via LeMat-Bulk).

Output
- space-group type = C2/m
- crystal system = monoclinic

Geometry as extended XYZ:
```
6
Lattice="4.7163 -1.7878 0.0000 4.7163 1.7878 0.0000 -2.8185 0.0000 6.6061" Properties=species:S:1:pos:R:3 pbc="T T T"
Tl 0.0000 0.0000 0.0000
Bi -1.4093 0.0000 3.3031
Pd 1.1814 0.0000 4.4525
Pd 2.7216 0.0000 1.0422
Pd 3.8925 0.0000 5.5639
Pd 5.4327 0.0000 2.1536
```

***

Which is the most stable structure? run two is the most stable.

***

Run one
# TlBiPd3

A relaxed TlBiPd3 crystal (PBE-GGA, Alexandria via LeMat-Bulk).

Output
- space-group type = Pm-3m
- crystal system = cubic

Geometry as extended XYZ:
```
5
Lattice="5.0300 0.0000 0.0000 0.0000 5.0300 0.0000 0.0000 0.0000 5.0300" Properties=species:S:1:pos:R:3 pbc="T T T"
Tl 0.0000 0.0000 0.0000
Bi 2.5150 2.5150 2.5150
Pd 0.0000 0.0000 2.5150
Pd 0.0000 2.5150 0.0000
Pd 2.5150 0.0000 0.0000
```

***

Run two
# TlBiPd3

A relaxed TlBiPd3 crystal (PBE-GGA, Alexandria via LeMat-Bulk).

Output
- space-group type = P2_1/m
- crystal system = monoclinic

Geometry as extended XYZ:
```
10
Lattice="4.8697 0.0000 0.0000 0.0000 5.5837 0.0000 -2.1087 0.0000 7.3313" Properties=species:S:1:pos:R:3 pbc="T T T"
Tl 0.8608 1.3959 0.7888
Tl 1.9002 4.1878 6.5425
Bi -1.1295 1.3959 4.7765
Bi 3.8905 4.1878 2.5548
Pd -0.5353 4.1878 5.3233
Pd 1.6012 4.1878 0.8989
Pd 1.3805 0.0000 3.6656
Pd 1.3805 2.7919 3.6656
Pd 1.1598 1.3959 6.4324
Pd 3.2963 1.3959 2.0080
```

***

Run three
# TlBiPd3

A relaxed TlBiPd3 crystal (PBE-GGA, Alexandria via LeMat-Bulk).

Output
- space-group type = Pmmn
- crystal system = orthorhombic

Geometry as extended XYZ:
```
10
Lattice="4.5268 0.0000 0.0000 0.0000 5.7757 0.0000 0.0000 0.0000 7.8075" Properties=species:S:1:pos:R:3 pbc="T T T"
Tl 1.1317 1.4439 0.4214
Tl 3.3951 4.3318 7.3861
Bi 1.1317 4.3318 2.9672
Bi 3.3951 1.4439 4.8403
Pd 1.1317 1.4439 3.1826
Pd 1.1317 2.9271 5.8534
Pd 1.1317 5.7364 5.8534
Pd 3.3951 0.0393 1.9542
Pd 3.3951 2.8486 1.9542
Pd 3.3951 4.3318 4.6250
```

***

Run four
# TlBiPd3

A relaxed TlBiPd3 crystal (PBE-GGA, Alexandria via LeMat-Bulk).

Output
- space-group type = Pm-3m
- crystal system = cubic

Geometry as extended XYZ:
```
5
Lattice="5.1525 0.0000 0.0000 0.0000 5.1525 0.0000 0.0000 0.0000 5.1525" Properties=species:S:1:pos:R:3 pbc="T T T"
Tl 0.0000 0.0000 0.0000
Bi 2.5762 2.5762 2.5762
Pd 0.0000 2.5762 2.5762
Pd 2.5762 0.0000 2.5762
Pd 2.5762 2.5762 0.0000
```

***

Which is the most stable structure? run three is the most stable.

***

Run one
# Tl3BiPd

A relaxed Tl3BiPd crystal (PBE-GGA, Alexandria via LeMat-Bulk).

Output
- space-group type = Pm-3m
- crystal system = cubic

Geometry as extended XYZ:
```
5
Lattice="5.3806 0.0000 0.0000 0.0000 5.3806 0.0000 0.0000 0.0000 5.3806" Properties=species:S:1:pos:R:3 pbc="T T T"
Tl 0.0000 0.0000 2.6903
Tl 0.0000 2.6903 0.0000
Tl 2.6903 0.0000 0.0000
Bi 2.6903 2.6903 2.6903
Pd 0.0000 0.0000 0.0000
```

***

Run two
# Tl3BiPd

A relaxed Tl3BiPd crystal (PBE-GGA, Alexandria via LeMat-Bulk).

Output
- space-group type = Pnma
- crystal system = orthorhombic

Geometry as extended XYZ:
```
20
Lattice="11.3081 0.0000 0.0000 0.0000 5.2324 0.0000 0.0000 0.0000 9.2059" Properties=species:S:1:pos:R:3 pbc="T T T"
Tl 0.8699 1.3081 2.1644
Tl 0.9937 1.3081 8.0158
Tl 1.1277 3.9243 4.2205
Tl 4.5263 1.3081 8.8235
Tl 4.6603 3.9243 3.4128
Tl 4.7842 3.9243 6.7673
Tl 6.5239 1.3081 2.4386
Tl 6.6477 1.3081 5.7931
Tl 6.7818 3.9243 0.3825
Tl 10.1804 1.3081 4.9854
Tl 10.3144 3.9243 1.1901
Tl 10.4382 3.9243 7.0415
Bi 2.6518 3.9243 0.6984
Bi 3.0023 1.3081 5.3014
Bi 8.3058 3.9243 3.9045
Bi 8.6563 1.3081 8.5075
Pd 2.0214 3.9243 6.9856
Pd 3.6327 1.3081 2.3826
Pd 7.6754 3.9243 6.8233
Pd 9.2867 1.3081 2.2204
```

***

Which is the most stable structure? run two is the most stable.

***

Run one
# TlBi2Pd7

A relaxed TlBi2Pd7 crystal (PBE-GGA, Alexandria via LeMat-Bulk).

Output
- space-group type = Cmmm
- crystal system = orthorhombic

Geometry as extended XYZ:
```
10
Lattice="3.7517 -7.4226 0.0000 3.7517 7.4226 0.0000 0.0000 0.0000 3.9720" Properties=species:S:1:pos:R:3 pbc="T T T"
Tl 0.0000 0.0000 0.0000
Bi 3.7517 2.7797 1.9860
Bi 3.7517 -2.7797 1.9860
Pd 1.4019 1.4488 1.9860
Pd 3.7517 4.5697 0.0000
Pd 1.4019 -1.4488 1.9860
Pd 3.7517 0.0000 1.9860
Pd 6.1016 1.4488 1.9860
Pd 3.7517 -4.5697 0.0000
Pd 6.1016 -1.4488 1.9860
```

***

Run two
# TlBi2Pd7

A relaxed TlBi2Pd7 crystal (PBE-GGA, Alexandria via LeMat-Bulk).

Output
- space-group type = I4/mmm
- crystal system = tetragonal

Geometry as extended XYZ:
```
10
Lattice="-2.0311 2.0311 11.8591 2.0311 -2.0311 11.8591 2.0311 2.0311 -11.8591" Properties=species:S:1:pos:R:3 pbc="T T T"
Tl 0.0000 0.0000 0.0000
Bi 0.0000 0.0000 7.8933
Bi 0.0000 0.0000 15.8248
Pd 2.0311 0.0000 2.0674
Pd 2.0311 0.0000 5.9295
Pd 2.0311 0.0000 9.7916
Pd 0.0000 0.0000 11.8591
Pd 0.0000 2.0311 2.0674
Pd 0.0000 2.0311 5.9295
Pd 0.0000 2.0311 9.7916
```

***

Which is the most stable structure? run two is the most stable.

***

Run one
# Tm7Bi2Pd2

A relaxed Tm7Bi2Pd2 crystal (PBE-GGA, Alexandria via LeMat-Bulk).

Output
- space-group type = Imm2
- crystal system = orthorhombic

Geometry as extended XYZ:
```
11
Lattice="-1.9460 7.8924 4.8977 1.9460 -7.8924 4.8977 1.9460 7.8924 -4.8977" Properties=species:S:1:pos:R:3 pbc="T T T"
Tm 0.0000 0.0000 0.0000
Tm 1.9460 5.8891 -0.7486
Tm 1.9460 2.9215 1.2989
Tm 0.0000 2.0033 4.1492
Tm 0.0000 5.5587 2.7373
Tm 0.0000 10.2261 2.7373
Tm 0.0000 4.9709 6.1967
Bi 1.9460 0.0000 2.5678
Bi 0.0000 0.0000 6.5533
Pd 1.9460 -4.1268 4.2961
Pd 1.9460 4.1268 4.2961
```

***

Run two
# Tm7Bi2Pd2

A relaxed Tm7Bi2Pd2 crystal (PBE-GGA, Alexandria via LeMat-Bulk).

Output
- space-group type = Cmmm
- crystal system = orthorhombic

Geometry as extended XYZ:
```
11
Lattice="4.3712 -5.3343 0.0000 4.3712 5.3343 0.0000 0.0000 0.0000 7.0118" Properties=species:S:1:pos:R:3 pbc="T T T"
Tm 0.0000 0.0000 0.0000
Tm 2.1856 2.6672 1.7150
Tm 2.1856 2.6672 5.2968
Tm 2.1856 -2.6672 1.7150
Tm 2.1856 -2.6672 5.2968
Tm 4.3712 0.0000 1.6526
Tm 4.3712 0.0000 5.3592
Bi 1.7303 0.0000 3.5059
Bi 7.0120 0.0000 3.5059
Pd 4.3712 2.3492 0.0000
Pd 4.3712 -2.3492 0.0000
```

***

Which is the most stable structure? run one is the most stable.

***

Run one
# V2BiPd2

A relaxed V2BiPd2 crystal (PBE-GGA, Alexandria via LeMat-Bulk).

Output
- space-group type = P4/mbm
- crystal system = tetragonal

Geometry as extended XYZ:
```
10
Lattice="7.5499 0.0000 0.0000 0.0000 7.5499 0.0000 0.0000 0.0000 3.1214" Properties=species:S:1:pos:R:3 pbc="T T T"
V 1.2095 2.5655 0.0000
V 2.5655 6.3405 0.0000
V 4.9845 1.2095 0.0000
V 6.3405 4.9845 0.0000
Bi 0.0000 0.0000 1.5607
Bi 3.7750 3.7750 1.5607
Pd 0.9761 4.7510 1.5607
Pd 2.7989 0.9761 1.5607
Pd 4.7510 6.5739 1.5607
Pd 6.5739 2.7989 1.5607
```

***

Run two
# V2BiPd2

A relaxed V2BiPd2 crystal (PBE-GGA, Alexandria via LeMat-Bulk).

Output
- space-group type = P4/mbm
- crystal system = tetragonal

Geometry as extended XYZ:
```
10
Lattice="7.7051 0.0000 0.0000 0.0000 7.7051 0.0000 0.0000 0.0000 2.9555" Properties=species:S:1:pos:R:3 pbc="T T T"
V 0.7915 3.0611 0.0000
V 3.0611 6.9137 0.0000
V 4.6440 0.7915 0.0000
V 6.9137 4.6440 0.0000
Bi 0.0000 0.0000 0.0000
Bi 3.8526 3.8526 0.0000
Pd 1.3741 5.2267 1.4777
Pd 2.4784 1.3741 1.4777
Pd 5.2267 6.3310 1.4777
Pd 6.3310 2.4784 1.4777
```

***

Which is the most stable structure? run two is the most stable.